No. 1
Below is NbTe2NCl at its PBEsol-relaxed geometry, with properties calculated at the SCAN level.

Values from the calculation:
- raw formation energy (eV per formula unit) = 0.80
- DFT total energy (eV/atom) = -24.819

The structure in CIF format:
```
data_NbTe2NCl
_chemical_formula_sum 'Nb1 Te2 N1 Cl1'
_symmetry_space_group_name_H-M 'P 1'
_symmetry_Int_Tables_number 1
_symmetry_space_group_name_Hall 'P 1'
_cell_length_a 5.469
_cell_length_b 5.469
_cell_length_c 3.895
_cell_angle_alpha 90.00
_cell_angle_beta 90.00
_cell_angle_gamma 90.00
loop_
_atom_site_label
_atom_site_fract_x
_atom_site_fract_y
_atom_site_fract_z
Nb1 0.000 0.000 0.000
Te1 0.000 0.500 0.000
Te2 0.500 0.000 0.000
N1 0.000 0.000 0.500
Cl1 0.500 0.500 0.500
```



No. 2
Below is ReAs2W at its PBEsol-relaxed geometry, with properties calculated at the SCAN level.

Values from the calculation:
- DFT total energy (eV/atom) = -44.871

The structure in CIF format:
```
data_ReAs2W
_chemical_formula_sum 'Re2 As4 W2'
_symmetry_space_group_name_H-M 'P 1'
_symmetry_Int_Tables_number 1
_symmetry_space_group_name_Hall 'P 1'
_cell_length_a 8.142
_cell_length_b 2.953
_cell_length_c 5.145
_cell_angle_alpha 90.00
_cell_angle_beta 102.50
_cell_angle_gamma 90.00
loop_
_atom_site_label
_atom_site_fract_x
_atom_site_fract_y
_atom_site_fract_z
Re1 0.000 0.000 0.000
Re2 0.500 0.500 0.000
As1 0.248 0.500 0.246
As2 0.252 0.000 0.754
As3 0.748 0.000 0.246
As4 0.752 0.500 0.754
W1 0.000 0.500 0.500
W2 0.500 0.000 0.500
```



No. 3
Below is LaZrSc2In at its PBEsol-relaxed geometry, with properties calculated at the SCAN level.

Values from the calculation:
- DFT total energy (eV/atom) = -26.570

The structure in CIF format:
```
data_LaZrSc2In
_chemical_formula_sum 'La1 Zr1 Sc2 In1'
_symmetry_space_group_name_H-M 'P 1'
_symmetry_Int_Tables_number 1
_symmetry_space_group_name_Hall 'P 1'
_cell_length_a 5.123
_cell_length_b 5.123
_cell_length_c 5.444
_cell_angle_alpha 90.00
_cell_angle_beta 90.00
_cell_angle_gamma 90.00
loop_
_atom_site_label
_atom_site_fract_x
_atom_site_fract_y
_atom_site_fract_z
La1 0.000 0.000 0.000
Zr1 0.000 0.000 0.500
Sc1 0.000 0.500 0.500
Sc2 0.500 0.000 0.500
In1 0.500 0.500 0.000
```



No. 4
Below is YFe2W at its PBEsol-relaxed geometry, with properties calculated at the SCAN level.

Values from the calculation:
- DFT total energy (eV/atom) = -33.020
- distance to the lowest polymorph of the same formula (meV/atom) = 107

The structure in CIF format:
```
data_YFe2W
_chemical_formula_sum 'Y2 Fe4 W2'
_symmetry_space_group_name_H-M 'P 1'
_symmetry_Int_Tables_number 1
_symmetry_space_group_name_Hall 'P 1'
_cell_length_a 3.983
_cell_length_b 3.116
_cell_length_c 10.240
_cell_angle_alpha 90.00
_cell_angle_beta 90.00
_cell_angle_gamma 90.00
loop_
_atom_site_label
_atom_site_fract_x
_atom_site_fract_y
_atom_site_fract_z
Y1 0.000 0.000 0.000
Y2 0.000 0.500 0.500
Fe1 0.000 0.000 0.741
Fe2 0.000 0.500 0.241
Fe3 0.500 0.000 0.607
Fe4 0.500 0.500 0.107
W1 0.500 0.000 0.284
W2 0.500 0.500 0.784
```



No. 5
Below is ZnPN3 at its PBEsol-relaxed geometry, with properties calculated at the SCAN level.

Values from the calculation:
- raw formation energy (eV per formula unit) = 4.47
- DFT total energy (eV/atom) = -9.464

The structure in CIF format:
```
data_ZnPN3
_chemical_formula_sum 'Zn1 P1 N3'
_symmetry_space_group_name_H-M 'P 1'
_symmetry_Int_Tables_number 1
_symmetry_space_group_name_Hall 'P 1'
_cell_length_a 3.490
_cell_length_b 3.490
_cell_length_c 3.490
_cell_angle_alpha 90.00
_cell_angle_beta 90.00
_cell_angle_gamma 90.00
loop_
_atom_site_label
_atom_site_fract_x
_atom_site_fract_y
_atom_site_fract_z
Zn1 0.000 0.000 0.000
P1 0.500 0.500 0.500
N1 0.000 0.500 0.500
N2 0.500 0.000 0.500
N3 0.500 0.500 0.000
```



No. 6
Below is LaScOs at its PBEsol-relaxed geometry, with properties calculated at the SCAN level.

Values from the calculation:
- DFT total energy (eV/atom) = -43.374

The structure in CIF format:
```
data_LaScOs
_chemical_formula_sum 'La2 Sc2 Os2'
_symmetry_space_group_name_H-M 'P 1'
_symmetry_Int_Tables_number 1
_symmetry_space_group_name_Hall 'P 1'
_cell_length_a 3.285
_cell_length_b 3.285
_cell_length_c 13.004
_cell_angle_alpha 90.00
_cell_angle_beta 90.00
_cell_angle_gamma 90.00
loop_
_atom_site_label
_atom_site_fract_x
_atom_site_fract_y
_atom_site_fract_z
La1 0.000 0.000 0.000
La2 0.500 0.500 0.500
Sc1 0.000 0.000 0.745
Sc2 0.500 0.500 0.245
Os1 0.000 0.000 0.355
Os2 0.500 0.500 0.855
```



No. 7
Below is MgAsW3 at its PBEsol-relaxed geometry, with properties calculated at the SCAN level.

Values from the calculation:
- DFT total energy (eV/atom) = -44.001

The structure in CIF format:
```
data_MgAsW3
_chemical_formula_sum 'Mg1 As1 W3'
_symmetry_space_group_name_H-M 'P 1'
_symmetry_Int_Tables_number 1
_symmetry_space_group_name_Hall 'P 1'
_cell_length_a 4.550
_cell_length_b 4.550
_cell_length_c 4.550
_cell_angle_alpha 90.00
_cell_angle_beta 90.00
_cell_angle_gamma 90.00
loop_
_atom_site_label
_atom_site_fract_x
_atom_site_fract_y
_atom_site_fract_z
Mg1 0.000 0.000 0.000
As1 0.500 0.500 0.500
W1 0.000 0.000 0.500
W2 0.000 0.500 0.000
W3 0.500 0.000 0.000
```



No. 8
Below is SbPb3 at its PBEsol-relaxed geometry, with properties calculated at the SCAN level.

Values from the calculation:
- raw formation energy (eV per formula unit) = 0.17
- DFT total energy (eV/atom) = -66.108

The structure in CIF format:
```
data_SbPb3
_chemical_formula_sum 'Sb4 Pb12'
_symmetry_space_group_name_H-M 'P 1'
_symmetry_Int_Tables_number 1
_symmetry_space_group_name_Hall 'P 1'
_cell_length_a 9.595
_cell_length_b 8.624
_cell_length_c 5.726
_cell_angle_alpha 90.00
_cell_angle_beta 90.00
_cell_angle_gamma 90.00
loop_
_atom_site_label
_atom_site_fract_x
_atom_site_fract_y
_atom_site_fract_z
Sb1 0.000 0.053 0.250
Sb2 0.000 0.947 0.750
Sb3 0.500 0.447 0.750
Sb4 0.500 0.553 0.250
Pb1 0.000 0.351 0.750
Pb2 0.000 0.649 0.250
Pb3 0.202 0.340 0.250
Pb4 0.202 0.660 0.750
Pb5 0.298 0.160 0.750
Pb6 0.298 0.840 0.250
Pb7 0.500 0.149 0.250
Pb8 0.500 0.851 0.750
Pb9 0.702 0.160 0.750
Pb10 0.702 0.840 0.250
Pb11 0.798 0.340 0.250
Pb12 0.798 0.660 0.750
```



No. 9
Below is Tb3Mn2C6 at its PBEsol-relaxed geometry, with properties calculated at the SCAN level.

Values from the calculation:
- DFT total energy (eV/atom) = -21.925

The structure in CIF format:
```
data_Tb3Mn2C6
_chemical_formula_sum 'Tb6 Mn4 C12'
_symmetry_space_group_name_H-M 'P 1'
_symmetry_Int_Tables_number 1
_symmetry_space_group_name_Hall 'P 1'
_cell_length_a 7.962
_cell_length_b 7.962
_cell_length_c 4.971
_cell_angle_alpha 90.00
_cell_angle_beta 90.00
_cell_angle_gamma 120.00
loop_
_atom_site_label
_atom_site_fract_x
_atom_site_fract_y
_atom_site_fract_z
Tb1 0.064 0.378 0.250
Tb2 0.314 0.936 0.250
Tb3 0.378 0.314 0.750
Tb4 0.622 0.686 0.250
Tb5 0.686 0.064 0.750
Tb6 0.936 0.622 0.750
Mn1 0.000 0.000 0.000
Mn2 0.000 0.000 0.500
Mn3 0.333 0.667 0.750
Mn4 0.667 0.333 0.250
C1 0.038 0.222 0.750
C2 0.134 0.421 0.750
C3 0.184 0.962 0.750
C4 0.222 0.184 0.250
C5 0.287 0.866 0.750
C6 0.421 0.287 0.250
C7 0.579 0.713 0.750
C8 0.713 0.134 0.250
C9 0.778 0.816 0.750
C10 0.816 0.038 0.250
C11 0.866 0.579 0.250
C12 0.962 0.778 0.250
```



No. 10
Below is NaGa2Ir2 at its PBEsol-relaxed geometry, with properties calculated at the SCAN level.

Values from the calculation:
- DFT total energy (eV/atom) = -36.226

The structure in CIF format:
```
data_NaGa2Ir2
_chemical_formula_sum 'Na2 Ga4 Ir4'
_symmetry_space_group_name_H-M 'P 1'
_symmetry_Int_Tables_number 1
_symmetry_space_group_name_Hall 'P 1'
_cell_length_a 7.388
_cell_length_b 7.388
_cell_length_c 2.830
_cell_angle_alpha 90.00
_cell_angle_beta 90.00
_cell_angle_gamma 90.00
loop_
_atom_site_label
_atom_site_fract_x
_atom_site_fract_y
_atom_site_fract_z
Na1 0.000 0.000 0.000
Na2 0.500 0.500 0.000
Ga1 0.153 0.347 0.500
Ga2 0.347 0.847 0.500
Ga3 0.653 0.153 0.500
Ga4 0.847 0.653 0.500
Ir1 0.142 0.642 0.000
Ir2 0.358 0.142 0.000
Ir3 0.642 0.858 0.000
Ir4 0.858 0.358 0.000
```



No. 11
Below is Tc6BiO18 at its PBEsol-relaxed geometry, with properties calculated at the SCAN level.

Values from the calculation:
- raw formation energy (eV per formula unit) = -34.96
- DFT total energy (eV/atom) = -17.443

The structure in CIF format:
```
data_Tc6BiO18
_chemical_formula_sum 'Tc12 Bi2 O36'
_symmetry_space_group_name_H-M 'P 1'
_symmetry_Int_Tables_number 1
_symmetry_space_group_name_Hall 'P 1'
_cell_length_a 7.127
_cell_length_b 7.127
_cell_length_c 15.932
_cell_angle_alpha 102.88
_cell_angle_beta 102.88
_cell_angle_gamma 90.05
loop_
_atom_site_label
_atom_site_fract_x
_atom_site_fract_y
_atom_site_fract_z
Tc1 0.000 0.000 0.000
Tc2 0.000 0.000 0.500
Tc3 0.000 0.500 0.000
Tc4 0.170 0.668 0.833
Tc5 0.331 0.332 0.168
Tc6 0.332 0.331 0.668
Tc7 0.332 0.830 0.667
Tc8 0.500 0.000 0.500
Tc9 0.668 0.170 0.333
Tc10 0.668 0.669 0.332
Tc11 0.669 0.668 0.832
Tc12 0.830 0.332 0.167
Bi1 0.500 0.500 0.000
Bi2 0.500 0.500 0.500
O1 0.016 0.759 0.034
O2 0.097 0.353 0.196
O3 0.108 0.227 0.581
O4 0.109 0.858 0.581
O5 0.142 0.891 0.919
O6 0.171 0.508 0.920
O7 0.199 0.801 0.750
O8 0.200 0.448 0.752
O9 0.227 0.108 0.081
O10 0.241 0.984 0.466
O11 0.251 0.494 0.081
O12 0.310 0.553 0.609
O13 0.353 0.097 0.696
O14 0.447 0.690 0.891
O15 0.448 0.200 0.252
O16 0.449 0.551 0.250
O17 0.492 0.829 0.580
O18 0.494 0.251 0.581
O19 0.506 0.749 0.419
O20 0.508 0.171 0.420
O21 0.551 0.449 0.750
O22 0.552 0.800 0.748
O23 0.553 0.310 0.109
O24 0.647 0.903 0.304
O25 0.690 0.447 0.391
O26 0.749 0.506 0.919
O27 0.759 0.016 0.534
O28 0.773 0.892 0.919
O29 0.800 0.552 0.248
O30 0.801 0.199 0.250
O31 0.829 0.492 0.080
O32 0.858 0.109 0.081
O33 0.891 0.142 0.419
O34 0.892 0.773 0.419
O35 0.903 0.647 0.804
O36 0.984 0.241 0.966
```